--- P ---
Density functional theory data (PBE-GGA) for a relaxed ErTm3Pd4 crystal.

Summary:
Spin magnetization: 0.00 μB per cell

Lattice parameters (Å, degrees): 4.9361 4.9361 6.8232 90.00 90.00 90.00
Last column: nearest neighbours and their distance in Å.
Space group P4/mmm (No. 123)
One atom of each set of equivalent atoms:
1 Er 0.0000 0.0000 0.0000  8 Pd 3.00
2 Tm 0.0000 0.0000 0.5000  8 Pd 3.00
3 Tm 0.5000 0.5000 0.0000  8 Pd 3.00
4 Tm 0.5000 0.5000 0.5000  8 Pd 3.00
5 Pd 0.0000 0.5000 0.2510  6 Tm 3.00, 2 Er 3.00


--- Q ---
Density functional theory data (PBE-GGA) for a relaxed ErTm3Pd4 crystal.

Summary:
Spin magnetization: 0.00 μB per cell

Lattice parameters (Å, degrees): 3.6673 6.6218 15.2045 90.00 90.00 90.00
Last column: nearest neighbours and their distance in Å.
Space group Immm (No. 71)
One atom of each set of equivalent atoms:
1 Er 0.0000 0.0000 0.0000  4 Pd 2.76
2 Tm 0.0000 0.0000 0.5000  8 Pd 3.02
3 Tm 0.0000 0.5000 0.2964  6 Pd 2.89-2.90
4 Pd 0.0000 0.2925 0.1292  1 Pd 2.75, 1 Er 2.76, 5 Tm 2.89-3.02


Which one sits at the top of the stability order? P does.


--- P ---
Density functional theory data (PBE-GGA) for a relaxed Er3Tm2Pd2 crystal.

Summary:
Spin magnetization: 0.00 μB per cell

Lattice parameters (Å, degrees): 12.2410 3.6648 9.0004 90.00 116.65 90.00
Last column: nearest neighbours and their distance in Å.
Space group C2/m (No. 12)
One atom of each set of equivalent atoms:
1 Er 0.0000 0.0000 0.0000  4 Pd 2.88
2 Er 0.1126 0.0000 0.4392  3 Pd 2.91-2.93
3 Tm 0.1587 0.5000 0.8137  2 Pd 2.94
4 Pd 0.1730 0.5000 0.2355  5 Er 2.88-2.93, 2 Tm 2.94


--- Q ---
Density functional theory data (PBE-GGA) for a relaxed Er3Tm2Pd2 crystal.

Summary:
Spin magnetization: 0.00 μB per cell

Lattice parameters (Å, degrees): 12.5177 3.6729 10.0194 90.00 126.72 90.00
Last column: nearest neighbours and their distance in Å.
Space group C2/m (No. 12)
One atom of each set of equivalent atoms:
1 Er 0.0000 0.0000 0.0000  4 Pd 2.92
2 Er 0.1549 0.0000 0.7084  3 Pd 2.95
3 Tm 0.1121 0.5000 0.3745  1 Pd 2.77
4 Pd 0.1402 0.5000 0.9269  1 Tm 2.77, 2 Pd 2.87, 5 Er 2.92-2.95


Which one sits at the top of the stability order? P does.


--- P ---
Density functional theory data (PBE-GGA) for a relaxed Er2TmPd crystal.

Summary:
Spin magnetization: 0.00 μB per cell

Lattice parameters (Å, degrees): 3.5415 3.5415 8.2634 90.00 90.00 90.00
Last column: nearest neighbours and their distance in Å.
Space group P4/mmm (No. 123)
One atom of each set of equivalent atoms:
1 Er 0.0000 0.0000 0.2014  4 Pd 3.01, 1 Er 3.33
2 Tm 0.5000 0.5000 0.5000  8 Er 3.52, 4 Tm 3.54
3 Pd 0.5000 0.5000 0.0000  8 Er 3.01


--- Q ---
Density functional theory data (PBE-GGA) for a relaxed Er2TmPd crystal.

Summary:
Spin magnetization: 0.00 μB per cell

Lattice parameters (Å, degrees): 6.9308 9.5467 6.4203 90.00 90.00 90.00
Last column: nearest neighbours and their distance in Å.
Space group Pnma (No. 62)
One atom of each set of equivalent atoms:
1 Er 0.1832 0.0585 0.1788  2 Pd 2.84-2.91
2 Tm 0.0226 0.2500 0.6277  2 Pd 2.81-2.86
3 Pd 0.1066 0.7500 0.9494  2 Tm 2.81-2.86, 4 Er 2.84-2.91


Which one sits at the top of the stability order? Q does.


--- P ---
Density functional theory data (PBE-GGA) for a relaxed Er2TmPd crystal.

Summary:
Spin magnetization: 0.04 μB per cell

Lattice parameters (Å, degrees): 3.5181 3.5181 31.8394 90.00 90.00 120.00
Last column: nearest neighbours and their distance in Å.
Space group R-3m (No. 166, hexagonal axes)
One atom of each set of equivalent atoms:
1 Er 0.0000 0.0000 0.1049  3 Pd 2.83
2 Tm 0.0000 0.0000 0.0000  2 Er 3.34, 6 Tm 3.52
3 Pd 0.0000 0.0000 0.5000  6 Er 2.83


--- Q ---
Density functional theory data (PBE-GGA) for a relaxed Er2TmPd crystal.

Summary:
Spin magnetization: 1.31 μB per cell

Lattice parameters (Å, degrees): 3.6474 3.6474 28.6016 90.00 90.00 120.00
Last column: nearest neighbours and their distance in Å.
Space group R3m (No. 160, hexagonal axes)
One atom of each set of equivalent atoms:
1 Er 0.0000 0.0000 0.0000  3 Pd 2.85
2 Er 0.0000 0.0000 0.1997  3 Pd 2.84
3 Tm 0.0000 0.0000 0.4343  6 Er 3.52-3.57, 6 Tm 3.65
4 Pd 0.0000 0.0000 0.5998  6 Er 2.84-2.85


Which one sits at the top of the stability order? Q does.


--- P ---
Density functional theory data (PBE-GGA) for a relaxed Er3TmPd crystal.

Summary:
Spin magnetization: 0.00 μB per cell

Lattice parameters (Å, degrees): 12.0680 3.6609 13.7059 90.00 115.64 90.00
Last column: nearest neighbours and their distance in Å.
Space group Cm (No. 8)
One atom of each set of equivalent atoms:
1 Er 0.0000 0.0000 0.0000  10 Er 3.49-3.83, 2 Tm 3.51, 1 Pd 3.64
2 Er 0.0242 0.0000 0.3615  2 Pd 2.98
3 Er 0.0615 0.5000 0.6015  3 Pd 2.88-2.98
4 Er 0.1736 0.5000 0.8911  2 Pd 2.86
5 Er 0.3273 0.0000 0.7631  2 Pd 2.97
6 Er 0.3519 0.0000 0.1257  9 Er 3.49-3.83, 3 Tm 3.55-3.56, 1 Pd 3.63
7 Tm 0.1780 0.5000 0.2347  2 Pd 2.84
8 Tm 0.2897 0.5000 0.5225  3 Pd 2.87-2.98
9 Pd 0.0070 0.0000 0.7371  6 Er 2.86-2.97, 1 Tm 2.98
10 Pd 0.3432 0.0000 0.3871  4 Tm 2.84-2.87, 3 Er 2.98


--- Q ---
Density functional theory data (PBE-GGA) for a relaxed Er3TmPd crystal.

Summary:
Spin magnetization: 0.01 μB per cell

Lattice parameters (Å, degrees): 11.3813 8.4074 7.7980 90.00 128.41 90.00
Last column: nearest neighbours and their distance in Å.
Space group C2/m (No. 12)
One atom of each set of equivalent atoms:
1 Er 0.0405 0.0000 0.3132  1 Pd 2.79
2 Er 0.2079 0.3007 0.7397  2 Pd 2.76-3.03
3 Tm 0.0729 0.5000 0.2735  2 Pd 2.78-2.96
4 Pd 0.2306 0.5000 0.0826  5 Er 2.76-3.03, 2 Tm 2.78-2.96


Which one sits at the top of the stability order? P does.


--- P ---
Density functional theory data (PBE-GGA) for a relaxed ErTmZnPd crystal.

Summary:
Spin magnetization: 0.00 μB per cell

Lattice parameters (Å, degrees): 3.5124 3.5124 6.9170 90.00 90.00 90.00
Last column: nearest neighbours and their distance in Å.
Space group P4mm (No. 99)
One atom of each set of equivalent atoms:
1 Er 0.0000 0.0000 0.0000  4 Pd 3.02, 4 Zn 3.05
2 Tm 0.0000 0.0000 0.5081  4 Pd 3.00, 4 Zn 3.04
3 Zn 0.5000 0.5000 0.2558  4 Tm 3.04, 4 Er 3.05
4 Pd 0.5000 0.5000 0.7511  4 Tm 3.00, 4 Er 3.02


--- Q ---
Density functional theory data (PBE-GGA) for a relaxed ErTmZnPd crystal.

Summary:
Spin magnetization: 0.00 μB per cell

Lattice parameters (Å, degrees): 6.9976 6.9976 6.9976 90.00 90.00 90.00
Last column: nearest neighbours and their distance in Å.
Space group F-43m (No. 216)
One atom of each set of equivalent atoms:
1 Er 0.0000 0.0000 0.0000  4 Pd 3.03, 4 Zn 3.03
2 Tm 0.0000 0.0000 0.5000  4 Pd 3.03, 4 Zn 3.03
3 Zn 0.2500 0.2500 0.2500  4 Er 3.03, 4 Tm 3.03
4 Pd 0.2500 0.2500 0.7500  4 Er 3.03, 4 Tm 3.03


Which one sits at the top of the stability order? P does.


--- P ---
Density functional theory data (PBE-GGA) for a relaxed Y2Er3Pd2 crystal.

Summary:
Spin magnetization: 0.00 μB per cell

Lattice parameters (Å, degrees): 12.3102 3.7242 9.0136 90.00 117.04 90.00
Last column: nearest neighbours and their distance in Å.
Space group C2/m (No. 12)
One atom of each set of equivalent atoms:
1 Y 0.1556 0.0000 0.3113  2 Pd 3.04
2 Er 0.0000 0.5000 0.5000  4 Pd 2.88
3 Er 0.1139 0.5000 0.9403  3 Pd 2.89-2.93
4 Pd 0.1677 0.0000 0.7371  5 Er 2.88-2.93, 2 Y 3.04


--- Q ---
Density functional theory data (PBE-GGA) for a relaxed Y2Er3Pd2 crystal.

Summary:
Spin magnetization: 0.00 μB per cell

Lattice parameters (Å, degrees): 3.7247 6.5399 8.3339 83.06 77.18 73.52
Last column: nearest neighbours and their distance in Å.
Space group P-1 (No. 2)
One atom of each set of equivalent atoms:
1 Y 0.1125 0.1517 0.1238  1 Pd 2.85
2 Er 0.3435 0.5986 0.2149  3 Pd 2.92-2.93
3 Er 0.5000 0.0000 0.5000  4 Pd 2.92
4 Pd 0.1407 0.6474 0.5712  1 Y 2.85, 2 Pd 2.91-2.92, 5 Er 2.92-2.93


Which one sits at the top of the stability order? P does.


--- P ---
Density functional theory data (PBE-GGA) for a relaxed YEr3Pd3 crystal.

Summary:
Spin magnetization: 0.00 μB per cell

Lattice parameters (Å, degrees): 9.1422 10.3983 7.0531 90.00 92.02 90.00
Last column: nearest neighbours and their distance in Å.
Space group C2/m (No. 12)
One atom of each set of equivalent atoms:
1 Y 0.2345 0.0000 0.3790  4 Pd 2.81-3.05
2 Er 0.0000 0.2515 0.5000  6 Pd 2.99-3.01
3 Er 0.0000 0.3229 0.0000  6 Pd 2.78-2.96
4 Er 0.1526 0.0000 0.8660  3 Pd 2.87-2.92
5 Pd 0.0609 0.5000 0.3048  2 Y 2.86-3.05, 5 Er 2.87-2.99, 3 Pd 3.01-3.17
6 Pd 0.2428 0.2477 0.2222  5 Er 2.78-3.01, 1 Y 2.81


--- Q ---
Density functional theory data (PBE-GGA) for a relaxed YEr3Pd3 crystal.

Summary:
Spin magnetization: 0.00 μB per cell

Lattice parameters (Å, degrees): 9.8346 9.8346 5.9673 90.00 90.00 120.00
Last column: nearest neighbours and their distance in Å.
Space group R-3m (No. 166, hexagonal axes)
One atom of each set of equivalent atoms:
1 Y 0.0000 0.0000 0.0000  6 Pd 3.01
2 Er 0.0000 0.5000 0.0000  6 Pd 2.98-3.01
3 Pd 0.0000 0.5000 0.5000  6 Er 2.98-3.01, 2 Y 3.01


Which one sits at the top of the stability order? Q does.


--- P ---
Density functional theory data (PBE-GGA) for a relaxed Y2ErPd crystal.

Summary:
Spin magnetization: 0.00 μB per cell

Lattice parameters (Å, degrees): 3.5810 3.5810 8.3899 90.00 90.00 90.00
Last column: nearest neighbours and their distance in Å.
Space group P4/mmm (No. 123)
One atom of each set of equivalent atoms:
1 Y 0.0000 0.0000 0.2013  4 Pd 3.04, 1 Y 3.38
2 Er 0.5000 0.5000 0.5000  8 Y 3.56, 4 Er 3.58
3 Pd 0.5000 0.5000 0.0000  8 Y 3.04


--- Q ---
Density functional theory data (PBE-GGA) for a relaxed Y2ErPd crystal.

Summary:
Spin magnetization: 0.00 μB per cell

Lattice parameters (Å, degrees): 7.0024 9.6989 6.4901 90.00 90.00 90.00
Last column: nearest neighbours and their distance in Å.
Space group Pnma (No. 62)
One atom of each set of equivalent atoms:
1 Y 0.1824 0.0593 0.1785  2 Pd 2.88-2.95
2 Er 0.0254 0.2500 0.6320  2 Pd 2.81-2.85
3 Pd 0.1088 0.7500 0.9527  2 Er 2.81-2.85, 4 Y 2.88-2.95


Which one sits at the top of the stability order? Q does.


--- P ---
Density functional theory data (PBE-GGA) for a relaxed Y3ErPd crystal.

Summary:
Spin magnetization: 0.00 μB per cell

Lattice parameters (Å, degrees): 12.2194 3.7204 13.8834 90.00 115.79 90.00
Last column: nearest neighbours and their distance in Å.
Space group Cm (No. 8)
One atom of each set of equivalent atoms:
1 Y 0.0000 0.0000 0.0000  2 Pd 3.01
2 Y 0.0224 0.0000 0.3650  9 Y 3.55-3.86, 3 Er 3.60-3.62, 1 Pd 3.66
3 Y 0.1722 0.5000 0.2394  10 Y 3.55-3.86, 2 Er 3.56, 1 Pd 3.73
4 Y 0.1977 0.5000 0.6005  2 Pd 3.07
5 Y 0.2331 0.0000 0.8381  3 Pd 2.92-3.03
6 Y 0.3441 0.0000 0.1274  2 Pd 2.90
7 Er 0.3505 0.0000 0.4749  2 Pd 2.84
8 Er 0.4630 0.0000 0.7598  3 Pd 2.88-2.98
9 Pd 0.0111 0.0000 0.6245  4 Er 2.84-2.88, 3 Y 3.03-3.07
10 Pd 0.1777 0.5000 0.9726  6 Y 2.90-3.01, 1 Er 2.98


--- Q ---
Density functional theory data (PBE-GGA) for a relaxed Y3ErPd crystal.

Summary:
Spin magnetization: 0.01 μB per cell

Lattice parameters (Å, degrees): 11.5529 8.5590 7.9258 90.00 129.28 90.00
Last column: nearest neighbours and their distance in Å.
Space group C2/m (No. 12)
One atom of each set of equivalent atoms:
1 Y 0.0392 0.0000 0.3123  1 Pd 2.81
2 Y 0.2121 0.3018 0.7438  2 Pd 2.79-3.10
3 Er 0.0714 0.5000 0.2719  2 Pd 2.76-2.98
4 Pd 0.2295 0.5000 0.0861  2 Er 2.76-2.98, 5 Y 2.79-3.10


Which one sits at the top of the stability order? P does.


--- P ---
Density functional theory data (PBE-GGA) for a relaxed YErZnPd crystal.

Summary:
Spin magnetization: 0.00 μB per cell

Lattice parameters (Å, degrees): 3.5423 3.5423 6.9774 90.00 90.00 90.00
Last column: nearest neighbours and their distance in Å.
Space group P4mm (No. 99)
One atom of each set of equivalent atoms:
1 Y 0.0000 0.0000 0.0000  4 Pd 3.08, 4 Zn 3.09, 1 Er 3.44
2 Er 0.0000 0.0000 0.5076  4 Pd 2.99, 4 Zn 3.05
3 Zn 0.5000 0.5000 0.2588  4 Er 3.05, 4 Y 3.09, 1 Pd 3.38
4 Pd 0.5000 0.5000 0.7427  4 Er 2.99, 4 Y 3.08


--- Q ---
Density functional theory data (PBE-GGA) for a relaxed YErZnPd crystal.

Summary:
Spin magnetization: 0.00 μB per cell

Lattice parameters (Å, degrees): 7.0551 7.0551 7.0551 90.00 90.00 90.00
Last column: nearest neighbours and their distance in Å.
Space group F-43m (No. 216)
One atom of each set of equivalent atoms:
1 Y 0.0000 0.0000 0.0000  4 Pd 3.05, 4 Zn 3.05
2 Er 0.0000 0.0000 0.5000  4 Pd 3.05, 4 Zn 3.05
3 Zn 0.2500 0.2500 0.2500  4 Er 3.05, 4 Y 3.05
4 Pd 0.2500 0.2500 0.7500  4 Y 3.05, 4 Er 3.05


Which one sits at the top of the stability order? P does.


--- P ---
Density functional theory data (PBE-GGA) for a relaxed Er2ZnPd crystal.

Summary:
Spin magnetization: 0.00 μB per cell

Lattice parameters (Å, degrees): 7.0130 7.0130 7.0130 90.00 90.00 90.00
Last column: nearest neighbours and their distance in Å.
Space group Fm-3m (No. 225)
One atom of each set of equivalent atoms:
1 Er 0.2500 0.2500 0.2500  4 Pd 3.04, 4 Zn 3.04
2 Zn 0.0000 0.0000 0.0000  8 Er 3.04
3 Pd 0.0000 0.0000 0.5000  8 Er 3.04


--- Q ---
Density functional theory data (PBE-GGA) for a relaxed Er2ZnPd crystal.

Summary:
Spin magnetization: 0.00 μB per cell

Lattice parameters (Å, degrees): 3.5209 3.5209 6.9331 90.00 90.00 90.00
Last column: nearest neighbours and their distance in Å.
Space group P4/mmm (No. 123)
One atom of each set of equivalent atoms:
1 Er 0.0000 0.0000 0.2459  4 Pd 3.02, 4 Zn 3.05
2 Zn 0.5000 0.5000 0.5000  8 Er 3.05
3 Pd 0.5000 0.5000 0.0000  8 Er 3.02


Which one sits at the top of the stability order? Q does.